1.
The following is a PBE calculation of a relaxed structure of SbCl2O, from Alexandria via LeMat-Bulk.

a = 6.6120 Å, b = 6.6120 Å, c = 6.6120 Å
α = 90.00°, β = 90.00°, γ = 90.00°
Last column: nearest neighbours and their distance in Å.
Atoms (fractional coordinates):
Sb 0.0000 0.0000 0.0000  8 Cl 2.86
Sb 0.0000 0.5000 0.5000  8 Cl 2.86
Sb 0.5000 0.0000 0.5000  8 Cl 2.86
Sb 0.5000 0.5000 0.0000  8 Cl 2.86
Cl 0.2500 0.2500 0.2500  4 O 2.86, 4 Sb 2.86
Cl 0.2500 0.2500 0.7500  4 O 2.86, 4 Sb 2.86
Cl 0.2500 0.7500 0.2500  4 O 2.86, 4 Sb 2.86
Cl 0.2500 0.7500 0.7500  4 O 2.86, 4 Sb 2.86
Cl 0.7500 0.2500 0.2500  4 O 2.86, 4 Sb 2.86
Cl 0.7500 0.2500 0.7500  4 O 2.86, 4 Sb 2.86
Cl 0.7500 0.7500 0.2500  4 O 2.86, 4 Sb 2.86
Cl 0.7500 0.7500 0.7500  4 O 2.86, 4 Sb 2.86
O 0.0000 0.0000 0.5000  8 Cl 2.86
O 0.0000 0.5000 0.0000  8 Cl 2.86
O 0.5000 0.0000 0.0000  8 Cl 2.86
O 0.5000 0.5000 0.5000  8 Cl 2.86

Results
Distance to the lowest polymorph of the same formula   1018 meV per atom
Calculated total energy   -48.16 eV per cell
E_form (uncorrected)   0.18 eV per atom



2.
The following is a PBE calculation of a relaxed structure of SbClO2, from Alexandria via LeMat-Bulk.

a = 3.3253 Å, b = 3.3253 Å, c = 21.3633 Å
α = 90.00°, β = 90.00°, γ = 120.00°
Last column: nearest neighbours and their distance in Å.
Atoms (fractional coordinates):
Sb 0.0000 0.0000 0.0000  2 O 1.95
Sb 0.3333 0.6667 0.6667  2 O 1.95
Sb 0.6667 0.3333 0.3333  2 O 1.95
Cl 0.0000 0.0000 0.5000  6 O 2.51
Cl 0.3333 0.6667 0.1667  6 O 2.51
Cl 0.6667 0.3333 0.8333  6 O 2.51
O 0.0000 0.0000 0.0911  1 Sb 1.95
O 0.0000 0.0000 0.9089  1 Sb 1.95
O 0.3333 0.6667 0.5756  1 Sb 1.95
O 0.3333 0.6667 0.7578  1 Sb 1.95
O 0.6667 0.3333 0.2422  1 Sb 1.95
O 0.6667 0.3333 0.4244  1 Sb 1.95

Results
Distance to the lowest polymorph of the same formula   1431 meV per atom
Calculated total energy   -41.72 eV per cell
E_form (uncorrected)   0.49 eV per atom



3.
The following is a PBE calculation of a relaxed structure of SbClO, from Alexandria via LeMat-Bulk.

a = 4.2115 Å, b = 5.8965 Å, c = 7.4976 Å
α = 93.48°, β = 106.25°, γ = 110.87°
Last column: nearest neighbours and their distance in Å.
Atoms (fractional coordinates):
Sb 0.1090 0.4002 0.3173  3 O 2.02-2.20
Sb 0.8910 0.5998 0.6827  3 O 2.02-2.20
Cl 0.2477 0.7908 0.2045  1 Sb 2.43
Cl 0.7523 0.2092 0.7955  1 Sb 2.43
O 0.3157 0.5338 0.5982  3 Sb 2.02-2.20
O 0.6843 0.4662 0.4018  3 Sb 2.02-2.20

Results
Distance to the lowest polymorph of the same formula   17 meV per atom
Calculated total energy   -28.78 eV per cell
E_form (uncorrected)   -1.15 eV per atom



4.
The following is a PBE calculation of a relaxed structure of Sb4Cl3O2, from Alexandria via LeMat-Bulk.

a = 9.5228 Å, b = 9.5228 Å, c = 5.9703 Å
α = 99.07°, β = 99.07°, γ = 70.13°
Last column: nearest neighbours and their distance in Å.
Atoms (fractional coordinates):
Sb 0.1423 0.1748 0.3353  1 O 2.15
Sb 0.1748 0.1423 0.8353  1 O 2.15
Sb 0.1816 0.4910 0.0676  2 O 2.06-2.15
Sb 0.4910 0.1816 0.5676  2 O 2.06-2.15
Sb 0.5090 0.8184 0.4324  2 O 2.06-2.15
Sb 0.8184 0.5090 0.9324  2 O 2.06-2.15
Sb 0.8252 0.8577 0.1647  1 O 2.15
Sb 0.8577 0.8252 0.6647  1 O 2.15
Cl 0.1794 0.5759 0.6946  1 Sb 2.48
Cl 0.2477 0.7523 0.2500  2 Sb 2.79
Cl 0.4241 0.8206 0.8054  1 Sb 2.48
Cl 0.5759 0.1794 0.1946  1 Sb 2.48
Cl 0.7523 0.2477 0.7500  2 Sb 2.79
Cl 0.8206 0.4241 0.3054  1 Sb 2.48
O 0.0341 0.3725 0.8852  3 Sb 2.06-2.15
O 0.3725 0.0341 0.3852  3 Sb 2.06-2.15
O 0.6275 0.9659 0.6148  3 Sb 2.06-2.15
O 0.9659 0.6275 0.1148  3 Sb 2.06-2.15

Results
Calculated total energy   -75.76 eV per cell
E_form (uncorrected)   -0.66 eV per atom



5.
The following is a PBE calculation of a relaxed structure of SbClO, from Alexandria via LeMat-Bulk.

a = 11.0782 Å, b = 3.3234 Å, c = 4.0218 Å
α = 90.00°, β = 98.62°, γ = 90.00°
Last column: nearest neighbours and their distance in Å.
Atoms (fractional coordinates):
Sb 0.0000 0.0000 0.0000  2 O 2.05
Sb 0.5000 0.5000 0.0000  2 O 2.05
Cl 0.2829 0.5000 0.8307  1 Sb 2.40
Cl 0.7829 0.0000 0.8307  1 Sb 2.40
O 0.4989 0.0000 0.2988  2 Sb 2.05
O 0.9989 0.5000 0.2988  2 Sb 2.05

Results
Distance to the lowest polymorph of the same formula   229 meV per atom
Calculated total energy   -27.50 eV per cell
E_form (uncorrected)   -0.94 eV per atom



6.
The following is a PBE calculation of a relaxed structure of Sb4ClO5, from Alexandria via LeMat-Bulk.

a = 7.9084 Å, b = 8.2775 Å, c = 6.5502 Å
α = 90.00°, β = 90.00°, γ = 90.00°
Last column: nearest neighbours and their distance in Å.
Atoms (fractional coordinates):
Sb 0.0227 0.2500 0.0663  3 O 2.00-2.02
Sb 0.2500 0.0238 0.5993  2 O 1.99
Sb 0.2500 0.4762 0.5993  2 O 1.99
Sb 0.4773 0.2500 0.0663  3 O 2.00-2.02
Sb 0.5227 0.7500 0.9337  3 O 2.00-2.02
Sb 0.7500 0.5238 0.4007  2 O 1.99
Sb 0.7500 0.9762 0.4007  2 O 1.99
Sb 0.9773 0.7500 0.9337  3 O 2.00-2.02
Cl 0.2500 0.7500 0.3784  2 Sb 2.69
Cl 0.7500 0.2500 0.6216  2 Sb 2.69
O 0.0587 0.5617 0.7646  2 Sb 1.99-2.02
O 0.0587 0.9383 0.7646  2 Sb 1.99-2.02
O 0.2500 0.2500 0.2015  2 Sb 2.00
O 0.4413 0.5617 0.7646  2 Sb 1.99-2.02
O 0.4413 0.9383 0.7646  2 Sb 1.99-2.02
O 0.5587 0.0617 0.2354  2 Sb 1.99-2.02
O 0.5587 0.4383 0.2354  2 Sb 1.99-2.02
O 0.7500 0.7500 0.7985  2 Sb 2.00
O 0.9413 0.0617 0.2354  2 Sb 1.99-2.02
O 0.9413 0.4383 0.2354  2 Sb 1.99-2.02

Results
Calculated total energy   -107.67 eV per cell
E_form (uncorrected)   -1.07 eV per atom



7.
The following is a PBE calculation of a relaxed structure of SbClO2, from Alexandria via LeMat-Bulk.

a = 5.9984 Å, b = 5.9984 Å, c = 5.9984 Å
α = 90.00°, β = 90.00°, γ = 90.00°
Last column: nearest neighbours and their distance in Å.
Atoms (fractional coordinates):
Sb 0.0000 0.0000 0.0000  8 O 2.60
Sb 0.0000 0.5000 0.5000  8 O 2.60
Sb 0.5000 0.0000 0.5000  8 O 2.60
Sb 0.5000 0.5000 0.0000  8 O 2.60
Cl 0.0000 0.0000 0.5000  8 O 2.60
Cl 0.0000 0.5000 0.0000  8 O 2.60
Cl 0.5000 0.0000 0.0000  8 O 2.60
Cl 0.5000 0.5000 0.5000  8 O 2.60
O 0.2500 0.2500 0.2500  4 Cl 2.60, 4 Sb 2.60
O 0.2500 0.2500 0.7500  4 Cl 2.60, 4 Sb 2.60
O 0.2500 0.7500 0.2500  4 Cl 2.60, 4 Sb 2.60
O 0.2500 0.7500 0.7500  4 Cl 2.60, 4 Sb 2.60
O 0.7500 0.2500 0.2500  4 Cl 2.60, 4 Sb 2.60
O 0.7500 0.2500 0.7500  4 Cl 2.60, 4 Sb 2.60
O 0.7500 0.7500 0.2500  4 Cl 2.60, 4 Sb 2.60
O 0.7500 0.7500 0.7500  4 Cl 2.60, 4 Sb 2.60

Results
Distance to the lowest polymorph of the same formula   1148 meV per atom
Calculated total energy   -60.16 eV per cell
E_form (uncorrected)   0.21 eV per atom



8.
The following is a PBE calculation of a relaxed structure of SbClO, from Alexandria via LeMat-Bulk.

a = 3.3356 Å, b = 5.8168 Å, c = 8.1145 Å
α = 87.33°, β = 89.96°, γ = 73.38°
Last column: nearest neighbours and their distance in Å.
Atoms (fractional coordinates):
Sb 0.1473 0.2070 0.2625  2 O 2.03
Sb 0.8527 0.7930 0.7375  2 O 2.03
Cl 0.3600 0.7808 0.3592  1 Sb 2.47
Cl 0.6400 0.2192 0.6408  1 Sb 2.47
O 0.3354 0.8272 0.8769  2 Sb 2.03
O 0.6646 0.1728 0.1231  2 Sb 2.03

Results
Distance to the lowest polymorph of the same formula   236 meV per atom
Calculated total energy   -27.46 eV per cell
E_form (uncorrected)   -0.93 eV per atom



9.
The following is a PBE calculation of a relaxed structure of SbClO, from Alexandria via LeMat-Bulk.

a = 3.7847 Å, b = 3.7847 Å, c = 8.3084 Å
α = 90.00°, β = 90.00°, γ = 90.00°
Last column: nearest neighbours and their distance in Å.
Atoms (fractional coordinates):
Sb 0.2500 0.2500 0.1493  4 O 2.26
Sb 0.7500 0.7500 0.8507  4 O 2.26
Cl 0.2500 0.2500 0.6845  4 Sb 3.01, 4 O 3.23
Cl 0.7500 0.7500 0.3155  4 Sb 3.01, 4 O 3.23
O 0.2500 0.7500 0.0000  4 Sb 2.26
O 0.7500 0.2500 0.0000  4 Sb 2.26

Results
Distance to the lowest polymorph of the same formula   42 meV per atom
Calculated total energy   -28.62 eV per cell
E_form (uncorrected)   -1.13 eV per atom



10.
The following is a PBE calculation of a relaxed structure of Sb2ClO3, from Alexandria via LeMat-Bulk.

a = 7.3434 Å, b = 7.3434 Å, c = 8.3741 Å
α = 102.43°, β = 102.43°, γ = 30.63°
Last column: nearest neighbours and their distance in Å.
Atoms (fractional coordinates):
Sb 0.0934 0.0934 0.2408  1 O 1.95
Sb 0.3678 0.3678 0.3683  4 O 1.96-2.02
Sb 0.6322 0.6322 0.6317  4 O 1.96-2.02
Sb 0.9066 0.9066 0.7592  1 O 1.95
Cl 0.3634 0.3634 0.9726  2 Sb 2.80
Cl 0.6365 0.6365 0.0274  2 Sb 2.80
O 0.1025 0.1025 0.6667  2 Sb 2.02
O 0.2287 0.2287 0.3589  2 Sb 1.95-1.96
O 0.4172 0.4172 0.6139  1 Sb 2.02
O 0.5828 0.5828 0.3861  1 Sb 2.02
O 0.7713 0.7713 0.6411  2 Sb 1.95-1.96
O 0.8975 0.8975 0.3333  2 Sb 2.02

Results
Calculated total energy   -62.90 eV per cell
E_form (uncorrected)   -1.08 eV per atom



11.
The following is a PBE calculation of a relaxed structure of SbClO, from Alexandria via LeMat-Bulk.

a = 8.1348 Å, b = 11.6233 Å, c = 9.6346 Å
α = 90.00°, β = 104.48°, γ = 90.00°
Last column: nearest neighbours and their distance in Å.
Atoms (fractional coordinates):
Sb 0.0371 0.1695 0.2405  2 O 2.03-2.07
Sb 0.0371 0.3305 0.7405  2 O 2.03-2.07
Sb 0.2157 0.5339 0.0793  2 O 1.99-2.09
Sb 0.2157 0.9661 0.5793  2 O 1.99-2.09
Sb 0.4031 0.7458 0.4084  2 O 2.00-2.06
Sb 0.4031 0.7542 0.9084  2 O 2.00-2.06
Sb 0.5969 0.2458 0.0916  2 O 2.00-2.06
Sb 0.5969 0.2542 0.5916  2 O 2.00-2.06
Sb 0.7843 0.0339 0.4207  2 O 1.99-2.09
Sb 0.7843 0.4661 0.9207  2 O 1.99-2.09
Sb 0.9629 0.6695 0.2595  2 O 2.03-2.07
Sb 0.9629 0.8305 0.7595  2 O 2.03-2.07
Cl 0.1054 0.1552 0.8784  1 Sb 2.42
Cl 0.1054 0.3448 0.3784  1 Sb 2.42
Cl 0.3890 0.6055 0.5923  1 Sb 2.43
Cl 0.3890 0.8945 0.0923  1 Sb 2.43
Cl 0.3960 0.1108 0.3504  3 Sb 2.93-3.19, 1 O 3.18
Cl 0.3960 0.3892 0.8504  3 Sb 2.93-3.19, 1 O 3.18
Cl 0.6040 0.6108 0.1496  3 Sb 2.93-3.19, 1 O 3.18
Cl 0.6040 0.8892 0.6496  3 Sb 2.93-3.19, 1 O 3.18
Cl 0.6110 0.1055 0.9077  1 Sb 2.43
Cl 0.6110 0.3945 0.4077  1 Sb 2.43
Cl 0.8946 0.6552 0.6216  1 Sb 2.42
Cl 0.8946 0.8448 0.1216  1 Sb 2.42
O 0.0335 0.0662 0.4098  3 Sb 2.03-2.24
O 0.0335 0.4338 0.9098  3 Sb 2.03-2.24
O 0.2092 0.6620 0.9413  2 Sb 1.99-2.00
O 0.2092 0.8380 0.4413  2 Sb 1.99-2.00
O 0.2173 0.6609 0.2586  3 Sb 2.06-2.27
O 0.2173 0.8391 0.7586  3 Sb 2.06-2.27
O 0.7827 0.1609 0.2414  3 Sb 2.06-2.27
O 0.7827 0.3391 0.7414  3 Sb 2.06-2.27
O 0.7908 0.1620 0.5587  2 Sb 1.99-2.00
O 0.7908 0.3380 0.0587  2 Sb 1.99-2.00
O 0.9665 0.5662 0.0902  3 Sb 2.03-2.24
O 0.9665 0.9338 0.5902  3 Sb 2.03-2.24

Results
Distance to the lowest polymorph of the same formula   0 meV per atom
Calculated total energy   -173.26 eV per cell
E_form (uncorrected)   -1.17 eV per atom



12.
The following is a PBE calculation of a relaxed structure of Sb2ClO5, from Alexandria via LeMat-Bulk.

a = 3.3830 Å, b = 5.2765 Å, c = 11.3647 Å
α = 90.00°, β = 90.00°, γ = 90.00°
Last column: nearest neighbours and their distance in Å.
Atoms (fractional coordinates):
Sb 0.0000 0.0000 0.1788  7 O 2.03-2.19
Sb 0.0000 0.0000 0.8212  7 O 2.03-2.19
Sb 0.5000 0.5000 0.3212  7 O 2.03-2.19
Sb 0.5000 0.5000 0.6788  7 O 2.03-2.19
Cl 0.0000 0.5000 0.0000  10 O 2.64-2.95
Cl 0.5000 0.0000 0.5000  10 O 2.64-2.95
O 0.0000 0.0000 0.0000  2 Sb 2.03
O 0.0000 0.2647 0.3268  3 Sb 2.10-2.19
O 0.0000 0.2647 0.6732  3 Sb 2.10-2.19
O 0.0000 0.7353 0.3268  3 Sb 2.10-2.19
O 0.0000 0.7353 0.6732  3 Sb 2.10-2.19
O 0.5000 0.2353 0.1732  3 Sb 2.10-2.19
O 0.5000 0.2353 0.8268  3 Sb 2.10-2.19
O 0.5000 0.5000 0.5000  2 Sb 2.03
O 0.5000 0.7647 0.1732  3 Sb 2.10-2.19
O 0.5000 0.7647 0.8268  3 Sb 2.10-2.19

Results
Calculated total energy   -81.64 eV per cell
E_form (uncorrected)   -0.74 eV per atom



Copy entry 10 word for word.
The following is a PBE calculation of a relaxed structure of Sb2ClO3, from Alexandria via LeMat-Bulk.

a = 7.3434 Å, b = 7.3434 Å, c = 8.3741 Å
α = 102.43°, β = 102.43°, γ = 30.63°
Last column: nearest neighbours and their distance in Å.
Atoms (fractional coordinates):
Sb 0.0934 0.0934 0.2408  1 O 1.95
Sb 0.3678 0.3678 0.3683  4 O 1.96-2.02
Sb 0.6322 0.6322 0.6317  4 O 1.96-2.02
Sb 0.9066 0.9066 0.7592  1 O 1.95
Cl 0.3634 0.3634 0.9726  2 Sb 2.80
Cl 0.6365 0.6365 0.0274  2 Sb 2.80
O 0.1025 0.1025 0.6667  2 Sb 2.02
O 0.2287 0.2287 0.3589  2 Sb 1.95-1.96
O 0.4172 0.4172 0.6139  1 Sb 2.02
O 0.5828 0.5828 0.3861  1 Sb 2.02
O 0.7713 0.7713 0.6411  2 Sb 1.95-1.96
O 0.8975 0.8975 0.3333  2 Sb 2.02

Results
Calculated total energy   -62.90 eV per cell
E_form (uncorrected)   -1.08 eV per atom



Question: Which value of E_form (uncorrected) does entry 6 give?
Answer: -1.07 eV per atom